(1)
A relaxed Ac2Sb3Au5 crystal. Source: OQMD via LeMat-Bulk, functional PBE.

a = 9.369 Å, b = 9.369 Å, c = 9.369 Å
α = 110.40°, β = 85.62°, γ = 136.70°
Fractional coordinates of all 20 atoms:
Ac (0.635, 0.735, 0.369)
Sb (0.884, 0.643, 0.527)
Au (0.250, 0.750, 0.500)
Sb (0.116, 0.357, 0.473)
Ac (0.365, 0.265, 0.631)
Au (0.637, 0.392, 0.029)
Au (0.478, 0.750, 0.728)
Au (0.137, 0.108, 0.246)
Sb (0.750, 0.750, 0.000)
Ac (0.865, 0.235, 0.100)
Au (0.978, 0.250, 0.728)
Ac (0.135, 0.765, 0.900)
Sb (0.250, 0.250, 0.000)
Sb (0.384, 0.857, 0.241)
Au (0.522, 0.250, 0.272)
Au (0.750, 0.250, 0.500)
Au (0.863, 0.892, 0.754)
Sb (0.616, 0.143, 0.759)
Au (0.363, 0.608, 0.971)
Au (0.022, 0.750, 0.272)

Output
VASP energy	-4.294	eV per atom



(2)
A relaxed PuTaTl crystal. Source: OQMD via LeMat-Bulk, functional PBE.

a = 4.888 Å, b = 4.888 Å, c = 4.888 Å
α = 60.00°, β = 60.00°, γ = 60.00°
Fractional coordinates of all 3 atoms:
Ta (0.750, 0.750, 0.750)
Tl (0.000, 0.000, 0.000)
Pu (0.250, 0.250, 0.250)

Output
relative energy among the computed polymorphs	0.0	meV/atom



(3)
A relaxed DyAlSi crystal. Source: OQMD via LeMat-Bulk, functional PBE.

a = 7.413 Å, b = 7.413 Å, c = 4.013 Å
α = 90.00°, β = 90.00°, γ = 120.00°
Fractional coordinates of all 9 atoms:
Si (0.667, 0.333, 0.000)
Dy (0.000, 0.276, 0.000)
Si (0.000, 0.000, 0.500)
Al (0.599, 0.000, 0.500)
Dy (0.276, 0.000, 0.000)
Al (0.000, 0.599, 0.500)
Si (0.333, 0.667, 0.000)
Dy (0.724, 0.724, 0.000)
Al (0.401, 0.401, 0.500)

Output
VASP energy	-4.797	eV per atom



(4)
A relaxed ZnPt2 crystal. Source: OQMD via LeMat-Bulk, functional PBE.

a = 4.688 Å, b = 2.834 Å, c = 6.783 Å
α = 90.00°, β = 95.25°, γ = 90.00°
Fractional coordinates of all 6 atoms:
Pt (0.802, 0.000, 0.545)
Pt (0.588, 0.500, 0.195)
Pt (0.373, 0.000, 0.847)
Pt (0.088, 0.000, 0.196)
Zn (0.297, 0.500, 0.520)
Zn (0.879, 0.500, 0.872)

Output
DFT formation energy	-0.408	eV per atom



(5)
A relaxed ScCdPO crystal. Source: OQMD via LeMat-Bulk, functional PBE.

a = 3.791 Å, b = 6.159 Å, c = 6.173 Å
α = 90.00°, β = 90.00°, γ = 90.00°
Fractional coordinates of all 8 atoms:
Sc (0.500, 0.483, 0.096)
Cd (0.000, 0.092, 0.463)
O (0.500, 0.280, 0.355)
O (0.500, 0.720, 0.855)
Cd (0.000, 0.908, 0.963)
P (0.000, 0.297, 0.840)
P (0.000, 0.703, 0.340)
Sc (0.500, 0.517, 0.596)

Output
VASP energy	-5.860	eV per atom



(6)
A relaxed Gd3Ga2Sb3O12 crystal. Source: OQMD via LeMat-Bulk, functional PBE.

a = 11.247 Å, b = 11.247 Å, c = 11.247 Å
α = 109.47°, β = 109.47°, γ = 109.47°
Fractional coordinates of all 80 atoms:
O (0.042, 0.338, 0.917)
O (0.958, 0.795, 0.875)
Ga (0.000, 0.500, 0.000)
O (0.625, 0.705, 0.542)
Sb (0.250, 0.625, 0.375)
O (0.125, 0.583, 0.920)
Ga (0.000, 0.500, 0.500)
O (0.625, 0.420, 0.083)
Gd (0.375, 0.125, 0.250)
Sb (0.625, 0.750, 0.375)
Ga (0.500, 0.500, 0.500)
O (0.205, 0.580, 0.162)
Gd (0.250, 0.375, 0.125)
O (0.583, 0.920, 0.125)
Sb (0.875, 0.250, 0.125)
Sb (0.750, 0.875, 0.125)
O (0.162, 0.458, 0.583)
Ga (0.500, 0.000, 0.000)
O (0.125, 0.042, 0.205)
O (0.920, 0.125, 0.583)
O (0.917, 0.375, 0.580)
O (0.083, 0.958, 0.662)
O (0.795, 0.875, 0.958)
Gd (0.125, 0.375, 0.750)
Gd (0.625, 0.250, 0.875)
Sb (0.625, 0.375, 0.250)
Gd (0.750, 0.625, 0.875)
O (0.958, 0.662, 0.083)
Gd (0.125, 0.250, 0.375)
Gd (0.375, 0.750, 0.125)
O (0.542, 0.625, 0.705)
O (0.542, 0.417, 0.838)
Ga (0.500, 0.000, 0.500)
O (0.420, 0.083, 0.625)
O (0.580, 0.917, 0.375)
Gd (0.875, 0.625, 0.250)
O (0.375, 0.580, 0.917)
O (0.080, 0.875, 0.417)
Sb (0.125, 0.875, 0.250)
O (0.205, 0.125, 0.042)
O (0.583, 0.162, 0.458)
O (0.295, 0.458, 0.375)
O (0.458, 0.583, 0.162)
O (0.875, 0.417, 0.080)
O (0.662, 0.080, 0.705)
O (0.417, 0.080, 0.875)
O (0.083, 0.625, 0.420)
O (0.338, 0.920, 0.295)
O (0.705, 0.542, 0.625)
O (0.580, 0.162, 0.205)
O (0.705, 0.662, 0.080)
O (0.838, 0.542, 0.417)
Gd (0.250, 0.875, 0.625)
Sb (0.375, 0.625, 0.750)
O (0.838, 0.795, 0.420)
O (0.042, 0.205, 0.125)
O (0.875, 0.958, 0.795)
O (0.920, 0.295, 0.338)
O (0.458, 0.375, 0.295)
O (0.080, 0.705, 0.662)
Gd (0.750, 0.125, 0.375)
O (0.420, 0.838, 0.795)
O (0.795, 0.420, 0.838)
Sb (0.375, 0.250, 0.625)
Sb (0.875, 0.125, 0.750)
Sb (0.750, 0.375, 0.625)
O (0.662, 0.083, 0.958)
O (0.417, 0.838, 0.542)
Sb (0.250, 0.125, 0.875)
O (0.338, 0.917, 0.042)
Gd (0.625, 0.875, 0.750)
O (0.162, 0.205, 0.580)
O (0.375, 0.295, 0.458)
Ga (0.500, 0.500, 0.000)
O (0.917, 0.042, 0.338)
Ga (0.000, 0.000, 0.500)
Gd (0.875, 0.750, 0.625)
O (0.295, 0.338, 0.920)
Sb (0.125, 0.750, 0.875)
Ga (0.000, 0.000, 0.000)

Output
VASP energy	-6.593	eV per atom



(7)
A relaxed Al2FeCu4Ni crystal. Source: OQMD via LeMat-Bulk, functional PBE.

a = 4.086 Å, b = 4.086 Å, c = 5.808 Å
α = 90.00°, β = 90.00°, γ = 90.00°
Fractional coordinates of all 8 atoms:
Cu (0.000, 0.500, 0.750)
Al (0.000, 0.000, 0.000)
Fe (0.000, 0.000, 0.500)
Ni (0.500, 0.500, 0.000)
Al (0.500, 0.500, 0.500)
Cu (0.500, 0.000, 0.750)
Cu (0.000, 0.500, 0.250)
Cu (0.500, 0.000, 0.250)

Output
relative energy among the computed polymorphs	0.0	meV/atom



(8)
A relaxed CsAgSb4S7 crystal. Source: OQMD via LeMat-Bulk, functional PBE.

a = 13.902 Å, b = 13.902 Å, c = 12.482 Å
α = 97.05°, β = 97.05°, γ = 37.57°
Fractional coordinates of all 52 atoms:
Sb (0.271, 0.445, 0.437)
S (0.597, 0.700, 0.869)
S (0.670, 0.028, 0.707)
Sb (0.785, 0.374, 0.875)
S (0.195, 0.584, 0.931)
Cs (0.000, 0.500, 0.000)
S (0.373, 0.727, 0.049)
S (0.067, 0.262, 0.527)
S (0.300, 0.403, 0.631)
S (0.627, 0.273, 0.951)
S (0.065, 0.012, 0.389)
S (0.416, 0.805, 0.569)
Ag (0.157, 0.358, 0.689)
Sb (0.981, 0.873, 0.423)
Sb (0.445, 0.271, 0.937)
S (0.933, 0.738, 0.473)
Ag (0.358, 0.157, 0.189)
S (0.878, 0.645, 0.695)
Sb (0.729, 0.555, 0.563)
Sb (0.019, 0.127, 0.577)
S (0.738, 0.933, 0.973)
S (0.122, 0.355, 0.305)
Ag (0.843, 0.642, 0.311)
S (0.403, 0.300, 0.131)
S (0.727, 0.373, 0.549)
S (0.805, 0.416, 0.069)
Sb (0.626, 0.215, 0.625)
Sb (0.127, 0.019, 0.077)
Cs (0.336, 0.664, 0.750)
S (0.355, 0.122, 0.805)
S (0.988, 0.935, 0.111)
S (0.262, 0.067, 0.027)
Sb (0.043, 0.251, 0.324)
S (0.330, 0.972, 0.293)
Sb (0.555, 0.729, 0.063)
S (0.028, 0.670, 0.207)
S (0.012, 0.065, 0.889)
S (0.935, 0.988, 0.611)
S (0.972, 0.330, 0.793)
Ag (0.642, 0.843, 0.811)
Sb (0.873, 0.981, 0.923)
S (0.584, 0.195, 0.431)
S (0.700, 0.597, 0.369)
Cs (0.500, 0.000, 0.500)
Sb (0.957, 0.749, 0.676)
S (0.645, 0.878, 0.195)
Cs (0.664, 0.336, 0.250)
Sb (0.749, 0.957, 0.176)
Sb (0.215, 0.626, 0.125)
Sb (0.251, 0.043, 0.824)
S (0.273, 0.627, 0.451)
Sb (0.374, 0.785, 0.375)

Output
VASP energy	-4.169	eV per atom



(9)
A relaxed WBr crystal. Source: OQMD via LeMat-Bulk, functional PBE.

a = 4.004 Å, b = 4.004 Å, c = 4.004 Å
α = 60.00°, β = 60.00°, γ = 60.00°
Fractional coordinates of all 2 atoms:
W (0.250, 0.250, 0.250)
Br (0.000, 0.000, 0.000)

Output
relative energy among the computed polymorphs	679.9	meV/atom



(10)
A relaxed KTaTl crystal. Source: OQMD via LeMat-Bulk, functional PBE.

a = 5.435 Å, b = 5.435 Å, c = 5.435 Å
α = 60.00°, β = 60.00°, γ = 60.00°
Fractional coordinates of all 3 atoms:
Tl (0.750, 0.750, 0.750)
K (0.000, 0.000, 0.000)
Ta (0.250, 0.250, 0.250)

Output
relative energy among the computed polymorphs	485.6	meV/atom



(11)
A relaxed SrCd2Pt2 crystal. Source: OQMD via LeMat-Bulk, functional PBE.

a = 6.792 Å, b = 6.792 Å, c = 6.792 Å
α = 142.35°, β = 142.35°, γ = 54.30°
Fractional coordinates of all 5 atoms:
Pt (0.394, 0.394, 0.000)
Cd (0.250, 0.750, 0.500)
Pt (0.606, 0.606, 0.000)
Cd (0.750, 0.250, 0.500)
Sr (0.000, 0.000, 0.000)

Output
VASP energy	-3.695	eV per atom



(12)
A relaxed LaSmGa2Br2 crystal. Source: OQMD via LeMat-Bulk, functional PBE.

a = 4.256 Å, b = 4.256 Å, c = 11.583 Å
α = 90.00°, β = 90.00°, γ = 120.00°
Fractional coordinates of all 6 atoms:
Ga (0.333, 0.667, 0.524)
Ga (0.667, 0.333, 0.468)
La (0.000, 0.000, 0.684)
Br (0.667, 0.333, 0.844)
Br (0.333, 0.667, 0.164)
Sm (0.000, 0.000, 0.316)

Output
VASP energy	-4.460	eV per atom



(13)
A relaxed GaCuIrAu crystal. Source: OQMD via LeMat-Bulk, functional PBE.

a = 4.400 Å, b = 4.400 Å, c = 4.400 Å
α = 60.00°, β = 60.00°, γ = 60.00°
Fractional coordinates of all 4 atoms:
Ir (0.250, 0.250, 0.250)
Au (0.500, 0.500, 0.500)
Cu (0.750, 0.750, 0.750)
Ga (0.000, 0.000, 0.000)

Output
relative energy among the computed polymorphs	0.0	meV/atom



(14)
A relaxed UNbPb crystal. Source: OQMD via LeMat-Bulk, functional PBE.

a = 4.791 Å, b = 4.791 Å, c = 4.791 Å
α = 60.00°, β = 60.00°, γ = 60.00°
Fractional coordinates of all 3 atoms:
Pb (0.250, 0.250, 0.250)
Nb (0.000, 0.000, 0.000)
U (0.750, 0.750, 0.750)

Output
relative energy among the computed polymorphs	0.0	meV/atom



(15)
A relaxed Ag2SnHgSe2S2 crystal. Source: OQMD via LeMat-Bulk, functional PBE.

a = 7.458 Å, b = 7.396 Å, c = 5.977 Å
α = 66.81°, β = 65.73°, γ = 47.46°
Fractional coordinates of all 8 atoms:
Se (0.618, 0.137, 0.863)
Se (0.137, 0.618, 0.382)
S (0.390, 0.865, 0.610)
Sn (0.506, 0.506, 0.494)
Ag (0.240, 0.240, 0.260)
Hg (0.004, 0.004, 0.996)
Ag (0.740, 0.740, 0.760)
S (0.865, 0.390, 0.135)

Output
relative energy among the computed polymorphs	2.2	meV/atom



(16)
A relaxed TlRe3Sb5 crystal. Source: OQMD via LeMat-Bulk, functional PBE.

a = 5.545 Å, b = 5.545 Å, c = 8.379 Å
α = 90.00°, β = 90.00°, γ = 120.00°
Fractional coordinates of all 9 atoms:
Sb (0.667, 0.333, 0.780)
Sb (0.333, 0.667, 0.220)
Sb (0.000, 0.000, 0.500)
Re (0.000, 0.500, 0.500)
Tl (0.000, 0.000, 0.000)
Sb (0.333, 0.667, 0.780)
Re (0.500, 0.000, 0.500)
Re (0.500, 0.500, 0.500)
Sb (0.667, 0.333, 0.220)

Output
VASP energy	-6.295	eV per atom



(17)
A relaxed Cu5Ag4 crystal. Source: OQMD via LeMat-Bulk, functional PBE.

a = 7.162 Å, b = 7.162 Å, c = 8.227 Å
α = 124.67°, β = 124.67°, γ = 22.60°
Fractional coordinates of all 9 atoms:
Cu (0.505, 0.505, 0.829)
Cu (0.500, 0.500, 0.500)
Cu (0.160, 0.160, 0.828)
Cu (0.495, 0.495, 0.171)
Ag (0.838, 0.838, 0.847)
Ag (0.158, 0.158, 0.496)
Ag (0.162, 0.162, 0.153)
Cu (0.840, 0.840, 0.172)
Ag (0.842, 0.842, 0.504)

Output
relative energy among the computed polymorphs	58.6	meV/atom
DFT formation energy	0.099	eV per atom



(18)
A relaxed ScBeZnFe crystal. Source: OQMD via LeMat-Bulk, functional PBE.

a = 4.223 Å, b = 4.223 Å, c = 4.223 Å
α = 60.00°, β = 60.00°, γ = 60.00°
Fractional coordinates of all 4 atoms:
Zn (0.250, 0.250, 0.250)
Sc (0.000, 0.000, 0.000)
Be (0.750, 0.750, 0.750)
Fe (0.500, 0.500, 0.500)

Output
relative energy among the computed polymorphs	0.0	meV/atom